DFT (PBEsol) results for an optimized crystal structure of HgOs2.

```
3
Lattice="4.451 0.000 0.000 -2.226 3.855 0.000 0.000 0.000 2.759" Properties=species:S:1:pos:R:3 pbc="T T T"
Hg 0.000 0.000 0.000
Os 0.000 2.570 0.689
Os 2.226 1.285 2.070
```

## Properties
The value obtained for the calculated volume is 15.78 Å³ per atom. Its symmetry is No. 164. As for the density of states at the Fermi level: 0.864 states/eV per atom. The formation energy from the elements is 1086.7 meV per atom.